DFT (PBE-GGA) results for an optimized crystal structure of GaNiBr5.

Computed properties:
E_form (uncorrected) = -0.4256 eV per atom
volume = 36.544 A^3/atom

a = 7.6329 Å, b = 9.1450 Å, c = 14.6588 Å
α = 90.00°, β = 90.00°, γ = 90.00°
Sites, in units of the cell vectors:
Ni: 0.7500 0.3582 0.9557
Ni: 0.2500 0.8582 0.5443
Ni: 0.2500 0.6418 0.0443
Ni: 0.7500 0.1418 0.4557
Ga: 0.2500 0.4997 0.3525
Ga: 0.2500 0.0003 0.8525
Ga: 0.7500 0.5003 0.6475
Ga: 0.7500 0.9997 0.1475
Br: 0.7500 0.5001 0.8165
Br: 0.0165 0.8846 0.1163
Br: 0.7500 0.2561 0.1080
Br: 0.7500 0.9999 0.3165
Br: 0.2500 0.4999 0.1835
Br: 0.5165 0.1154 0.8837
Br: 0.4835 0.6154 0.6163
Br: 0.9835 0.3846 0.3837
Br: 0.7500 0.2439 0.6080
Br: 0.2500 0.0001 0.6835
Br: 0.0000 0.0000 0.5000
Br: 0.4835 0.8846 0.1163
Br: 0.0000 0.5000 0.0000
Br: 0.0165 0.6154 0.6163
Br: 0.2500 0.7439 0.8920
Br: 0.2500 0.7561 0.3920
Br: 0.5000 0.5000 0.0000
Br: 0.5165 0.3846 0.3837
Br: 0.9835 0.1154 0.8837
Br: 0.5000 0.0000 0.5000